# PBE RbMgTlSi2, relaxed
data_RbMgTlSi2
_chemical_formula_sum 'Rb1 Mg1 Tl1 Si2'
_space_group_name_H-M_alt 'P 4/m m m'
_space_group_IT_number 123
_space_group_name_Hall '-P 4 2'
_cell_length_a 5.5287
_cell_length_b 5.5287
_cell_length_c 5.3965
_cell_angle_alpha 90.00
_cell_angle_beta 90.00
_cell_angle_gamma 90.00
loop_
_atom_site_label
_atom_site_type_symbol
_atom_site_fract_x
_atom_site_fract_y
_atom_site_fract_z
Rb1 Rb 0.0000 0.0000 0.0000
Mg1 Mg 0.5000 0.5000 0.0000
Tl1 Tl 0.5000 0.5000 0.5000
Si1 Si 0.0000 0.5000 0.5000
# formation energy (no corrections)	3.972	eV per formula unit
# size of the total moment	0.00	μB per formula unit

---

# PBE Tb3Sm7Er, relaxed
data_Tb3Sm7Er
_chemical_formula_sum 'Tb6 Sm14 Er2'
_space_group_name_H-M_alt 'C 1 2/m 1'
_space_group_IT_number 12
_cell_length_a 12.7575
_cell_length_b 11.2564
_cell_length_c 5.8735
_cell_angle_alpha 90.00
_cell_angle_beta 117.37
_cell_angle_gamma 90.00
loop_
_space_group_symop_operation_xyz
'x,y,z'
'-x,-y,-z'
'-x,y,-z'
'x,-y,z'
'x+1/2,y+1/2,z'
'-x+1/2,-y+1/2,-z'
'-x+1/2,y+1/2,-z'
'x+1/2,-y+1/2,z'
loop_
_atom_site_label
_atom_site_type_symbol
_atom_site_fract_x
_atom_site_fract_y
_atom_site_fract_z
Tb1 Tb 0.0000 0.0000 0.0000
Tb2 Tb 0.0000 0.2055 0.5000
Sm1 Sm 0.0000 0.5000 0.5000
Sm2 Sm 0.1941 0.2084 0.1938
Sm3 Sm 0.2098 0.0000 0.7081
Er1 Er 0.0000 0.5000 0.0000
# energy relative to the elements	0.2446	eV/atom
# size of the total moment	0.12	μB per formula unit

---

# PBE InCu3Ag, relaxed
data_InCu3Ag
_chemical_formula_sum 'In2 Cu6 Ag2'
_space_group_name_H-M_alt 'P -1'
_space_group_IT_number 2
_cell_length_a 4.9532
_cell_length_b 5.0869
_cell_length_c 6.7500
_cell_angle_alpha 69.09
_cell_angle_beta 76.83
_cell_angle_gamma 89.27
loop_
_space_group_symop_operation_xyz
'x,y,z'
'-x,-y,-z'
loop_
_atom_site_label
_atom_site_type_symbol
_atom_site_fract_x
_atom_site_fract_y
_atom_site_fract_z
In1 In 0.1333 0.3023 0.3912
Cu1 Cu 0.0000 0.5000 0.0000
Cu2 Cu 0.3387 0.8946 0.6990
Cu3 Cu 0.3480 0.3874 0.7014
Cu4 Cu 0.5000 0.5000 0.0000
Ag1 Ag 0.2161 0.9361 0.1243
# energy relative to the elements	0.0507	eV/atom
# size of the total moment	0.00	μB per formula unit

---

# PBE MgNpZnIn, relaxed
data_MgNpZnIn
_chemical_formula_sum 'Mg4 Np4 Zn4 In4'
_space_group_name_H-M_alt 'F -4 3 m'
_space_group_IT_number 216
_space_group_name_Hall 'F -4 2 3'
_cell_length_a 7.1334
_cell_length_b 7.1334
_cell_length_c 7.1334
_cell_angle_alpha 90.00
_cell_angle_beta 90.00
_cell_angle_gamma 90.00
loop_
_atom_site_label
_atom_site_type_symbol
_atom_site_fract_x
_atom_site_fract_y
_atom_site_fract_z
Mg1 Mg 0.0000 0.0000 0.0000
Np1 Np 0.0000 0.0000 0.5000
Zn1 Zn 0.2500 0.2500 0.2500
In1 In 0.2500 0.2500 0.7500
# energy relative to the elements	0.1084	eV/atom
# size of the total moment	4.15	μB per formula unit

---

# PBE PmScCu2Si2, relaxed
data_PmScCu2Si2
_chemical_formula_sum 'Pm1 Sc1 Cu2 Si2'
_space_group_name_H-M_alt 'P -3 m 1'
_space_group_IT_number 164
_space_group_name_Hall '-P 3 2"'
_cell_length_a 4.1541
_cell_length_b 4.1541
_cell_length_c 7.1430
_cell_angle_alpha 90.00
_cell_angle_beta 90.00
_cell_angle_gamma 120.00
loop_
_atom_site_label
_atom_site_type_symbol
_atom_site_fract_x
_atom_site_fract_y
_atom_site_fract_z
Pm1 Pm 0.0000 0.0000 0.0000
Sc1 Sc 0.0000 0.0000 0.5000
Cu1 Cu 0.3333 0.6667 0.7005
Si1 Si 0.3333 0.6667 0.2764
# formation energy (no corrections)	-3.929	eV per formula unit
# size of the total moment	0.00	μB per formula unit

---

# PBE KGaSi, relaxed
data_KGaSi
_chemical_formula_sum 'K2 Ga2 Si2'
_space_group_name_H-M_alt 'P -6 m 2'
_space_group_IT_number 187
_space_group_name_Hall 'P -6 2'
_cell_length_a 4.7072
_cell_length_b 4.7072
_cell_length_c 7.2829
_cell_angle_alpha 90.00
_cell_angle_beta 90.00
_cell_angle_gamma 120.00
loop_
_atom_site_label
_atom_site_type_symbol
_atom_site_fract_x
_atom_site_fract_y
_atom_site_fract_z
K1 K 0.0000 0.0000 0.0000
K2 K 0.0000 0.0000 0.5000
Ga1 Ga 0.6667 0.3333 0.2047
Si1 Si 0.3333 0.6667 0.3126
# formation energy (no corrections)	0.485	eV per formula unit
# size of the total moment	0.00	μB per formula unit

---

# PBE TaMn2Zn, relaxed
data_TaMn2Zn
_chemical_formula_sum 'Ta3 Mn6 Zn3'
_space_group_name_H-M_alt 'R -3 m'
_space_group_IT_number 166
_space_group_name_Hall '-R 3 2"'
_cell_length_a 2.8419
_cell_length_b 2.8419
_cell_length_c 26.0882
_cell_angle_alpha 90.00
_cell_angle_beta 90.00
_cell_angle_gamma 120.00
loop_
_atom_site_label
_atom_site_type_symbol
_atom_site_fract_x
_atom_site_fract_y
_atom_site_fract_z
Ta1 Ta 0.0000 0.0000 0.0000
Mn1 Mn 0.0000 0.0000 0.2483
Zn1 Zn 0.0000 0.0000 0.5000
# energy relative to the elements	0.2351	eV/atom
# size of the total moment	5.63	μB per formula unit

---

# PBE Lu2InSb, relaxed
data_Lu2InSb
_chemical_formula_sum 'Lu2 In1 Sb1'
_space_group_name_H-M_alt 'P 4/m m m'
_space_group_IT_number 123
_space_group_name_Hall '-P 4 2'
_cell_length_a 3.8880
_cell_length_b 3.8880
_cell_length_c 6.8026
_cell_angle_alpha 90.00
_cell_angle_beta 90.00
_cell_angle_gamma 90.00
loop_
_atom_site_label
_atom_site_type_symbol
_atom_site_fract_x
_atom_site_fract_y
_atom_site_fract_z
Lu1 Lu 0.0000 0.0000 0.2420
In1 In 0.5000 0.5000 0.5000
Sb1 Sb 0.5000 0.5000 0.0000
# formation energy (no corrections)	-2.178	eV per formula unit
# size of the total moment	0.00	μB per formula unit

---

# PBE KErF4, relaxed
data_KErF4
_chemical_formula_sum 'K4 Er4 F16'
_space_group_name_H-M_alt 'C m c 21'
_space_group_IT_number 36
_cell_length_a 4.3465
_cell_length_b 17.8179
_cell_length_c 6.1985
_cell_angle_alpha 90.00
_cell_angle_beta 90.00
_cell_angle_gamma 90.00
loop_
_space_group_symop_operation_xyz
'x,y,z'
'-x,-y,z+1/2'
'-x,y,z'
'x,-y,z+1/2'
'x+1/2,y+1/2,z'
'-x+1/2,-y+1/2,z+1/2'
'-x+1/2,y+1/2,z'
'x+1/2,-y+1/2,z+1/2'
loop_
_atom_site_label
_atom_site_type_symbol
_atom_site_fract_x
_atom_site_fract_y
_atom_site_fract_z
K1 K 0.0000 0.1959 0.0000
Er1 Er 0.0000 0.4132 0.0048
F1 F 0.0000 0.0863 0.5073
F2 F 0.0000 0.3253 0.2380
F3 F 0.0000 0.3285 0.7627
F4 F 0.0000 0.4977 0.2618
# formation energy (no corrections)	-22.401	eV per formula unit
# size of the total moment	0.04	μB per formula unit

---

# PBE GaFeRu2N, relaxed
data_GaFeRu2N
_chemical_formula_sum 'Ga1 Fe1 Ru2 N1'
_space_group_name_H-M_alt 'P 4/m m m'
_space_group_IT_number 123
_space_group_name_Hall '-P 4 2'
_cell_length_a 4.0490
_cell_length_b 4.0490
_cell_length_c 3.7061
_cell_angle_alpha 90.00
_cell_angle_beta 90.00
_cell_angle_gamma 90.00
loop_
_atom_site_label
_atom_site_type_symbol
_atom_site_fract_x
_atom_site_fract_y
_atom_site_fract_z
Ga1 Ga 0.0000 0.0000 0.0000
Fe1 Fe 0.5000 0.5000 0.0000
Ru1 Ru 0.0000 0.5000 0.5000
N1 N 0.5000 0.5000 0.5000
# formation energy (no corrections)	-0.057	eV per formula unit
# size of the total moment	0.49	μB per formula unit

---

# PBE Hg2Te, relaxed
data_Hg2Te
_chemical_formula_sum 'Hg8 Te4'
_space_group_name_H-M_alt 'P a -3'
_space_group_IT_number 205
_space_group_name_Hall '-P 2ac 2ab 3'
_cell_length_a 7.2836
_cell_length_b 7.2836
_cell_length_c 7.2836
_cell_angle_alpha 90.00
_cell_angle_beta 90.00
_cell_angle_gamma 90.00
loop_
_atom_site_label
_atom_site_type_symbol
_atom_site_fract_x
_atom_site_fract_y
_atom_site_fract_z
Hg1 Hg 0.1154 0.1154 0.1154
Te1 Te 0.0000 0.0000 0.5000
# formation energy (no corrections)	-0.073	eV per formula unit
# size of the total moment	0.00	μB per formula unit

---

# PBE BaTiIN2, relaxed
data_BaTiIN2
_chemical_formula_sum 'Ba1 Ti1 I1 N2'
_space_group_name_H-M_alt 'P 4/m m m'
_space_group_IT_number 123
_space_group_name_Hall '-P 4 2'
_cell_length_a 4.3636
_cell_length_b 4.3636
_cell_length_c 5.4586
_cell_angle_alpha 90.00
_cell_angle_beta 90.00
_cell_angle_gamma 90.00
loop_
_atom_site_label
_atom_site_type_symbol
_atom_site_fract_x
_atom_site_fract_y
_atom_site_fract_z
Ba1 Ba 0.0000 0.0000 0.0000
Ti1 Ti 0.5000 0.5000 0.5000
I1 I 0.5000 0.5000 0.0000
N1 N 0.0000 0.5000 0.5000
# formation energy (no corrections)	-0.772	eV per formula unit
# size of the total moment	0.91	μB per formula unit

---

These records have DOS at the Fermi energy values of 0.5167 1.4371 0.1887 2.3292 0.3932 0.0310 0.8763 0.7168 0.0000 0.8767 0.2259 0.2668 states/eV/atom, in the order they appear.
These records have VASP energy values of -0.087 -0.163 -0.130 -0.166 -0.209 -0.111 -0.280 -0.166 -0.218 -0.282 -0.047 -0.212 Ha/atom, in the order they appear.